Version one
CaPm3Pd2 (PBE, relaxed); calculated volume = 30.298 Å³ per atom
1.0
7.0104 0.0000 0.0000
0.0000 7.3694 0.0000
-3.5052 -3.6847 7.0375
Pd Ca Pm
4 2 6
direct
0.5646 0.3597 0.7193 Pd
0.1547 0.8597 0.7193 Pd
0.8453 0.1403 0.2807 Pd
0.4354 0.6403 0.2807 Pd
0.0000 0.0000 0.0000 Ca
0.0000 0.5000 0.0000 Ca
0.7665 0.0165 0.5330 Pm
0.5000 0.7500 0.0000 Pm
0.2335 0.4835 0.4670 Pm
0.2335 0.9835 0.4670 Pm
0.7665 0.5165 0.5330 Pm
0.5000 0.2500 0.0000 Pm


Version two
CaPm3Pd2 (PBE, relaxed); calculated volume = 27.496 Å³ per atom
1.0
-3.9976 -0.0264 -2.9085
-4.3309 -0.8574 5.9606
-0.6504 8.9371 0.8130
Pm Pd Ca
6 4 2
direct
0.0000 0.3545 0.3281 Pm
0.0000 0.9860 0.0822 Pm
0.0000 0.8545 0.6719 Pm
0.5000 0.6456 0.1657 Pm
0.0000 0.4860 0.9178 Pm
0.5000 0.1456 0.8343 Pm
0.5000 0.7511 0.8497 Pd
0.5000 0.2511 0.1503 Pd
0.0000 0.2478 0.6582 Pd
0.0000 0.7478 0.3418 Pd
0.5000 0.0150 0.4216 Ca
0.5000 0.5150 0.5784 Ca


Which structure wins on stability? version two wins.